Material: Tb4Y15Sc
Method: DFT, PBE-GGA
State: relaxed

a = 5.0289 Å, b = 5.0289 Å, c = 25.1272 Å
α = 90.00°, β = 90.00°, γ = 90.00°
With the nearest neighbours (Å) after each atom.
Atoms (fractional coordinates):
Tb: 0.0000 0.0000 0.1980  12 Y 3.56-3.58
Tb: 0.0000 0.0000 0.3991  12 Y 3.56-3.57
Tb: 0.0000 0.0000 0.6009  12 Y 3.56-3.57
Tb: 0.0000 0.0000 0.8020  12 Y 3.56-3.58
Y: 0.5000 0.5000 0.0000  8 Y 3.50, 4 Sc 3.56
Y: 0.5000 0.5000 0.1974  4 Tb 3.56, 8 Y 3.57
Y: 0.5000 0.5000 0.3993  4 Tb 3.56, 8 Y 3.57
Y: 0.5000 0.5000 0.6007  4 Tb 3.56, 8 Y 3.57
Y: 0.5000 0.5000 0.8026  4 Tb 3.56, 8 Y 3.57
Y: 0.5000 0.0000 0.0966  2 Sc 3.50, 8 Y 3.50-3.57, 2 Tb 3.58
Y: 0.5000 0.0000 0.2983  8 Y 3.56-3.57, 4 Tb 3.56-3.57
Y: 0.5000 0.0000 0.5000  8 Y 3.56-3.57, 4 Tb 3.57
Y: 0.5000 0.0000 0.7017  8 Y 3.56-3.57, 4 Tb 3.56-3.57
Y: 0.5000 0.0000 0.9034  2 Sc 3.50, 8 Y 3.50-3.57, 2 Tb 3.58
Y: 0.0000 0.5000 0.0966  2 Sc 3.50, 8 Y 3.50-3.57, 2 Tb 3.58
Y: 0.0000 0.5000 0.2983  8 Y 3.56-3.57, 4 Tb 3.56-3.57
Y: 0.0000 0.5000 0.5000  8 Y 3.56-3.57, 4 Tb 3.57
Y: 0.0000 0.5000 0.7017  8 Y 3.56-3.57, 4 Tb 3.56-3.57
Y: 0.0000 0.5000 0.9034  2 Sc 3.50, 8 Y 3.50-3.57, 2 Tb 3.58
Sc: 0.0000 0.0000 0.0000  12 Y 3.50-3.56

Summary:
SG = P4/mmm, No. 123
Size of the total moment = 0.000 μB/f.u.
ΔH_f (0 K) = 0.56 eV per formula unit
DFT total energy = -6.06 eV per atom

---

Material: LaTh2UN4
Method: DFT, PBE-GGA
State: relaxed

a = 5.1329 Å, b = 5.1329 Å, c = 6.2645 Å
α = 114.19°, β = 114.18°, γ = 90.00°
With the nearest neighbours (Å) after each atom.
Atoms (fractional coordinates):
La: 0.5000 0.5000 0.0000  6 N 2.58-2.61
Th: 0.2500 0.7500 0.5000  6 N 2.57-2.77
Th: 0.0000 0.0000 0.0000  6 N 2.49-2.58
U: 0.7500 0.2500 0.5000  6 N 2.34-2.57
N: 0.9788 0.4788 0.9576  1 U 2.34, 2 Th 2.58, 2 La 2.58
N: 0.5212 0.0212 0.0424  1 U 2.34, 2 La 2.58, 2 Th 2.58
N: 0.7557 0.7557 0.5114  3 Th 2.49-2.57, 2 U 2.57, 1 La 2.61
N: 0.2443 0.2443 0.4886  3 Th 2.49-2.57, 2 U 2.57, 1 La 2.61

Summary:
SG = I-4m2, No. 119
Size of the total moment = 1.568 μB/f.u.
Raw formation energy = -1403 meV per atom
DFT total energy = -9.45 eV per atom

---

Material: Sc2TiAg
Method: DFT, PBE-GGA
State: relaxed

a = 7.6279 Å, b = 7.6279 Å, c = 6.1560 Å
α = 51.72°, β = 51.72°, γ = 90.00°
With the nearest neighbours (Å) after each atom.
Atoms (fractional coordinates):
Sc: 0.6489 0.1250 0.2500  2 Ag 2.68, 2 Ti 2.92, 2 Sc 2.99
Sc: 0.1011 0.6250 0.2500  2 Ag 2.68, 2 Ti 2.92, 2 Sc 2.99
Sc: 0.3750 0.3511 0.7500  2 Ag 2.68, 2 Ti 2.92, 2 Sc 2.99
Sc: 0.8750 0.8989 0.7500  2 Ag 2.68, 2 Ti 2.92, 2 Sc 2.99
Ag: 0.0000 0.0000 0.0000  4 Sc 2.68, 2 Ti 2.97
Ag: 0.7500 0.2500 0.5000  4 Sc 2.68, 2 Ti 2.97
Ti: 0.5000 0.5000 0.0000  4 Sc 2.92, 2 Ag 2.97
Ti: 0.2500 0.7500 0.5000  4 Sc 2.92, 2 Ag 2.97

Summary:
SG = I-42d, No. 122
Size of the total moment = 1.113 μB/f.u.
ΔH_f (0 K) = 1.22 eV per formula unit
DFT total energy = -5.55 eV per atom

---

Material: Er4AlCu
Method: DFT, PBE-GGA
State: relaxed

a = 5.5722 Å, b = 8.4876 Å, c = 7.9841 Å
α = 115.30°, β = 100.96°, γ = 107.38°
With the nearest neighbours (Å) after each atom.
Atoms (fractional coordinates):
Er: 0.0630 0.2187 0.8475  2 Cu 2.93-2.96, 2 Al 3.14-3.22
Er: 0.7697 0.7027 0.6362  2 Cu 2.95-2.98, 2 Al 3.13-3.22, 1 Er 3.25
Er: 0.2846 0.6289 0.8475  2 Cu 2.93-2.96, 2 Al 3.14-3.22
Er: 0.3665 0.9335 0.6362  2 Cu 2.95-2.98, 2 Al 3.13-3.22, 1 Er 3.25
Er: 0.6335 0.0665 0.3638  2 Cu 2.95-2.98, 2 Al 3.13-3.22, 1 Er 3.25
Er: 0.7154 0.3711 0.1525  2 Cu 2.93-2.96, 2 Al 3.14-3.22
Er: 0.2303 0.2973 0.3638  2 Cu 2.95-2.98, 2 Al 3.13-3.22, 1 Er 3.25
Er: 0.9370 0.7813 0.1525  2 Cu 2.93-2.96, 2 Al 3.14-3.22
Al: 0.3717 0.6217 0.2435  10 Er 3.13-3.38
Al: 0.6283 0.3783 0.7565  10 Er 3.13-3.38
Cu: 0.2496 0.9996 0.9992  2 Cu 2.79, 8 Er 2.93-2.98
Cu: 0.7504 0.0004 0.0008  2 Cu 2.79, 8 Er 2.93-2.98

Summary:
SG = C2/c, No. 15
Size of the total moment = 0.000 μB/f.u.
ΔH_f (0 K) = -0.88 eV per formula unit
DFT total energy = -4.50 eV per atom

---

Material: BaSi3Pt3
Method: DFT, PBE-GGA
State: relaxed

a = 6.7143 Å, b = 6.7143 Å, c = 8.6538 Å
α = 67.17°, β = 67.17°, γ = 60.00°
With the nearest neighbours (Å) after each atom.
Atoms (fractional coordinates):
Ba: 0.3366 0.3366 0.9902  6 Si 3.47-3.53, 6 Pt 3.48-3.62, 3 Ba 3.88
Ba: 0.6634 0.6634 0.0098  6 Si 3.47-3.53, 6 Pt 3.48-3.62, 3 Ba 3.88
Si: 0.5357 0.7201 0.6324  4 Pt 2.36-2.49
Si: 0.7201 0.1119 0.6324  4 Pt 2.36-2.49
Si: 0.1119 0.5357 0.6324  4 Pt 2.36-2.49
Si: 0.8881 0.4643 0.3676  4 Pt 2.36-2.49
Si: 0.2799 0.8881 0.3676  4 Pt 2.36-2.49
Si: 0.4643 0.2799 0.3676  4 Pt 2.36-2.49
Pt: 0.1448 0.6511 0.3158  4 Si 2.36-2.49
Pt: 0.8884 0.1448 0.3158  4 Si 2.36-2.49
Pt: 0.6511 0.8884 0.3158  4 Si 2.36-2.49
Pt: 0.3489 0.1116 0.6842  4 Si 2.36-2.49
Pt: 0.1116 0.8552 0.6842  4 Si 2.36-2.49
Pt: 0.8552 0.3489 0.6842  4 Si 2.36-2.49

Summary:
SG = R-3, No. 148
Size of the total moment = 0.000 μB/f.u.
Raw formation energy = -643 meV per atom
Polymorph energy (0 for the lowest one) = 127 meV per atom
DFT total energy = -5.83 eV per atom

---

Material: PmSmY5Ho2
Method: DFT, PBE-GGA
State: relaxed

a = 5.6451 Å, b = 10.4259 Å, c = 10.5387 Å
α = 90.00°, β = 90.00°, γ = 105.74°
With the nearest neighbours (Å) after each atom.
Atoms (fractional coordinates):
Pm: 0.5848 0.1694 0.9479  5 Y 3.06-3.29
Pm: 0.4152 0.8307 0.4479  5 Y 3.06-3.29
Sm: 0.8022 0.6049 0.5139  2 Ho 3.41-3.64, 7 Y 3.48-3.81, 2 Pm 3.69
Sm: 0.1978 0.3951 0.0139  2 Ho 3.41-3.64, 7 Y 3.48-3.80, 2 Pm 3.68-3.69
Y: 0.3869 0.7741 0.0242  6 Y 3.51-3.84, 4 Ho 3.55-3.59, 1 Sm 3.80
Y: 0.7212 0.4421 0.8170  1 Pm 3.06, 1 Ho 3.33, 1 Y 3.43
Y: 0.4780 0.9559 0.7361  2 Pm 3.09-3.29
Y: 0.2992 0.5984 0.7069  4 Y 3.43-3.78, 3 Sm 3.48-3.83, 3 Ho 3.53-3.78, 1 Pm 3.59
Y: 0.9832 0.9665 0.5234  2 Pm 3.23, 3 Ho 3.37-3.58, 2 Y 3.61
Y: 0.6130 0.2258 0.5242  6 Y 3.51-3.84, 4 Ho 3.55-3.59, 1 Sm 3.81
Y: 0.2789 0.5580 0.3170  1 Pm 3.06, 1 Ho 3.33, 1 Y 3.43
Y: 0.5220 0.0441 0.2360  2 Pm 3.09-3.29
Y: 0.7008 0.4016 0.2069  4 Y 3.43-3.78, 3 Sm 3.48-3.82, 3 Ho 3.53-3.78, 1 Pm 3.59
Y: 0.0168 0.0335 0.0234  2 Pm 3.23, 3 Ho 3.37-3.58, 2 Y 3.61
Ho: 0.8872 0.7743 0.8198  9 Y 3.33-3.67, 1 Sm 3.64
Ho: 0.1113 0.2224 0.7348  7 Y 3.40-3.78, 1 Sm 3.41, 2 Pm 3.65
Ho: 0.1128 0.2257 0.3198  9 Y 3.33-3.67, 1 Sm 3.64
Ho: 0.8887 0.7776 0.2348  7 Y 3.40-3.78, 1 Sm 3.41, 2 Pm 3.65

Summary:
SG = Cmc2_1, No. 36
Size of the total moment = 0.000 μB/f.u.
ΔH_f (0 K) = 1.42 eV per formula unit
DFT total energy = -5.50 eV per atom

---

Material: Ho6Si3H
Method: DFT, PBE-GGA
State: relaxed

a = 6.6380 Å, b = 8.7790 Å, c = 8.7790 Å
α = 102.42°, β = 90.00°, γ = 90.00°
With the nearest neighbours (Å) after each atom.
Atoms (fractional coordinates):
Ho: 0.1949 0.6935 0.6356  4 Si 2.81-3.02
Ho: 0.6949 0.6356 0.6935  4 Si 2.81-3.02
Ho: 0.1832 0.4325 0.8952  1 H 2.25
Ho: 0.6832 0.8952 0.4325  1 H 2.25
Ho: 0.1578 0.0463 0.9537  1 H 2.25
Ho: 0.6866 0.2267 0.7733  1 H 2.35
Ho: 0.1866 0.7733 0.2267  1 H 2.35
Ho: 0.6578 0.9537 0.0463  1 H 2.25
Ho: 0.1832 0.1048 0.5675  1 H 2.25
Ho: 0.6832 0.5675 0.1048  1 H 2.25
Ho: 0.1949 0.3644 0.3065  4 Si 2.81-3.02
Ho: 0.6949 0.3065 0.3644  4 Si 2.81-3.02
Si: 0.4710 0.9400 0.7217  7 Ho 2.81-3.09
Si: 0.9710 0.7217 0.9400  7 Ho 2.81-3.09
Si: 0.4060 0.3888 0.6112  7 Ho 2.85-2.99
Si: 0.9060 0.6112 0.3888  7 Ho 2.85-2.99
Si: 0.9710 0.0600 0.2783  7 Ho 2.81-3.09
Si: 0.4710 0.2783 0.0600  7 Ho 2.81-3.09
H: 0.0367 0.2002 0.7998  4 Ho 2.25-2.35
H: 0.5367 0.7998 0.2002  4 Ho 2.25-2.35

Summary:
SG = Cmc2_1, No. 36
Size of the total moment = 0.000 μB/f.u.
DFT total energy = -5.16 eV per atom

---

Material: Os2Br
Method: DFT, PBE-GGA
State: relaxed

a = 2.9265 Å, b = 4.4180 Å, c = 7.3518 Å
α = 90.00°, β = 90.00°, γ = 90.00°
With the nearest neighbours (Å) after each atom.
Atoms (fractional coordinates):
Os: 0.7469 0.0000 0.3397  3 Br 2.60-2.61, 2 Os 2.76-2.78
Os: 0.2531 0.0000 0.6603  3 Br 2.60-2.61, 2 Os 2.76-2.78
Os: 0.2469 0.5000 0.1603  3 Br 2.60-2.61, 2 Os 2.76-2.78
Os: 0.7531 0.5000 0.8397  3 Br 2.60-2.61, 2 Os 2.76-2.78
Br: 0.0000 0.0000 0.0000  6 Os 2.60-2.61
Br: 0.5000 0.5000 0.5000  6 Os 2.60-2.61

Summary:
SG = Pnnm, No. 58
Size of the total moment = 0.000 μB/f.u.
Raw formation energy = 1497 meV per atom
Polymorph energy (0 for the lowest one) = 956 meV per atom
DFT total energy = -6.55 eV per atom

---

Material: As3Pd3Pb
Method: DFT, PBE-GGA
State: relaxed

a = 6.9139 Å, b = 6.9139 Å, c = 6.9139 Å
α = 90.00°, β = 90.00°, γ = 90.00°
With the nearest neighbours (Å) after each atom.
Atoms (fractional coordinates):
Pb: 0.5000 0.5000 0.5000  12 As 3.86, 12 Pd 3.86
Pb: 0.0000 0.0000 0.0000  12 As 3.86, 12 Pd 3.86
As: 0.0000 0.2500 0.5000  4 Pd 2.44
As: 0.0000 0.7500 0.5000  4 Pd 2.44
As: 0.5000 0.0000 0.7500  4 Pd 2.44
As: 0.7500 0.5000 0.0000  4 Pd 2.44
As: 0.5000 0.0000 0.2500  4 Pd 2.44
As: 0.2500 0.5000 0.0000  4 Pd 2.44
Pd: 0.2500 0.0000 0.5000  4 As 2.44
Pd: 0.0000 0.5000 0.2500  4 As 2.44
Pd: 0.5000 0.7500 0.0000  4 As 2.44
Pd: 0.7500 0.0000 0.5000  4 As 2.44
Pd: 0.0000 0.5000 0.7500  4 As 2.44
Pd: 0.5000 0.2500 0.0000  4 As 2.44

Summary:
SG = Pm-3n, No. 223
Size of the total moment = 0.000 μB/f.u.
ΔH_f (0 K) = -0.13 eV per formula unit
DFT total energy = -4.77 eV per atom

---

Material: TmNiBiRh
Method: DFT, PBE-GGA
State: relaxed

a = 4.7317 Å, b = 4.7317 Å, c = 4.7317 Å
α = 60.00°, β = 60.00°, γ = 60.00°
With the nearest neighbours (Å) after each atom.
Atoms (fractional coordinates):
Ni: 0.5000 0.5000 0.5000  4 Tm 2.90, 4 Bi 2.90
Tm: 0.2500 0.2500 0.2500  4 Rh 2.90, 4 Ni 2.90
Rh: 0.0000 0.0000 0.0000  4 Bi 2.90, 4 Tm 2.90
Bi: 0.7500 0.7500 0.7500  4 Ni 2.90, 4 Rh 2.90

Summary:
SG = F-43m, No. 216
Size of the total moment = 0.000 μB/f.u.
ΔH_f (0 K) = -1.70 eV per formula unit
DFT total energy = -5.80 eV per atom

---

Material: Zr2TlW
Method: DFT, PBE-GGA
State: relaxed

a = 4.8697 Å, b = 4.8697 Å, c = 4.8697 Å
α = 60.00°, β = 60.00°, γ = 60.00°
With the nearest neighbours (Å) after each atom.
Atoms (fractional coordinates):
Tl: 0.5000 0.5000 0.5000  4 Zr 2.98, 4 W 2.98
W: 0.7500 0.7500 0.7500  4 Tl 2.98, 4 Zr 2.98
Zr: 0.0000 0.0000 0.0000  4 Zr 2.98, 4 W 2.98
Zr: 0.2500 0.2500 0.2500  4 Zr 2.98, 4 Tl 2.98

Summary:
SG = F-43m, No. 216
Size of the total moment = 0.003 μB/f.u.
ΔH_f (0 K) = 1.58 eV per formula unit
Polymorph energy (0 for the lowest one) = 401 meV per atom
DFT total energy = -7.71 eV per atom

---

Material: Sr2Hf2Re
Method: DFT, PBE-GGA
State: relaxed

a = 3.8774 Å, b = 3.8774 Å, c = 8.9935 Å
α = 77.55°, β = 77.55°, γ = 90.00°
With the nearest neighbours (Å) after each atom.
Atoms (fractional coordinates):
Re: 0.0000 0.0000 0.0000  8 Hf 3.05
Hf: 0.4227 0.4227 0.1547  1 Hf 2.65
Hf: 0.5773 0.5773 0.8453  1 Hf 2.65
Sr: 0.7500 0.2500 0.5000  4 Sr 2.74
Sr: 0.2500 0.7500 0.5000  4 Sr 2.74

Summary:
SG = I4/mmm, No. 139
Size of the total moment = 0.000 μB/f.u.
ΔH_f (0 K) = 6.76 eV per formula unit
Polymorph energy (0 for the lowest one) = 821 meV per atom
DFT total energy = -5.79 eV per atom